The following is a DFT calculation (SCAN) of BeAlS3 at its PBEsol-relaxed geometry.

Unit cell a=4.528 b=4.528 c=4.528 alpha=90.00 beta=90.00 gamma=90.00
Sites, in units of the cell vectors:
Be: 0.500 0.500 0.500
S: 0.000 0.500 0.000
S: 0.000 0.000 0.500
S: 0.500 0.000 0.000
Al: 0.000 0.000 0.000

Output
For the density, the calculation gives 2.36 g cm⁻³. The value obtained for the volume is 18.6 Å³/atom. The electronic total energy comes out at -39.16 eV per formula unit. The formation energy from raw total energies comes out at 0.367 eV/atom. Its density of states at the Fermi level is 3.616 states/eV per cell.